1.
Density functional theory data (GGA-PBE) for a relaxed structure of HfFeC3.

a = 4.2005 Å, b = 4.2005 Å, c = 4.2005 Å
α = 90.00°, β = 90.00°, γ = 90.00°
Space group Pm-3m (No. 221)
One atom of each set of equivalent atoms:
Hf (0.0000, 0.0000, 0.0000)
Fe (0.5000, 0.5000, 0.5000)
C (0.0000, 0.0000, 0.5000)

Values from the calculation:
Density = 6.06 g/cm3
Calculated total energy = -6.61 eV/atom
ΔE to the lowest computed polymorph = 1372.1 meV per atom
Calculated formation energy = 2.606 eV/atom

---

2.
Density functional theory data (GGA-PBE) for a relaxed structure of Pa2InH2.

a = 5.7690 Å, b = 10.1229 Å, c = 11.7222 Å
α = 90.00°, β = 90.00°, γ = 90.00°
Space group Fddd (No. 70, origin choice 2)
One atom of each set of equivalent atoms:
Pa (0.1250, 0.3054, 0.1250)
In (0.1250, 0.1250, 0.6250)
H (0.1250, 0.1250, 0.0107)

Values from the calculation:
Density = 11.23 g/cm3
Calculated total energy = -5.85 eV/atom

---

3.
Density functional theory data (GGA-PBE) for a relaxed structure of Na2Cu2Au.

a = 6.5509 Å, b = 6.5509 Å, c = 4.6008 Å
α = 90.00°, β = 90.00°, γ = 90.00°
Space group P4/mbm (No. 127)
One atom of each set of equivalent atoms:
Na (0.1804, 0.3196, 0.0000)
Cu (0.1289, 0.6289, 0.5000)
Au (0.0000, 0.0000, 0.5000)

Values from the calculation:
Density = 6.22 g/cm3
Calculated total energy = -2.78 eV/atom
ΔE to the lowest computed polymorph = 0.0 meV per atom
Calculated formation energy = 0.044 eV/atom